The following is a DFT calculation (GGA-PBE) of a relaxed structure of Ni2Pt2Se.

a b c (Å): 6.2197 6.2197 3.7670
angles (deg): 90.00 90.00 90.00
Closest atoms and distances in Å follow each position.
Positions (direct):
Pt: 0.1557 0.6557 0.5000  6 Ni 2.59-2.64, 1 Pt 2.74
Pt: 0.3443 0.1557 0.5000  6 Ni 2.59-2.64, 1 Pt 2.74
Pt: 0.6557 0.8443 0.5000  6 Ni 2.59-2.64, 1 Pt 2.74
Pt: 0.8443 0.3443 0.5000  6 Ni 2.59-2.64, 1 Pt 2.74
Ni: 0.1419 0.3581 0.0000  2 Se 2.40, 1 Ni 2.50, 6 Pt 2.59-2.64
Ni: 0.3581 0.8581 0.0000  2 Se 2.40, 1 Ni 2.50, 6 Pt 2.59-2.64
Ni: 0.6419 0.1419 0.0000  2 Se 2.40, 1 Ni 2.50, 6 Pt 2.59-2.64
Ni: 0.8581 0.6419 0.0000  2 Se 2.40, 1 Ni 2.50, 6 Pt 2.59-2.64
Se: 0.5000 0.5000 0.0000  4 Ni 2.40
Se: 0.0000 0.0000 0.0000  4 Ni 2.40

The calculation puts the formation energy without anion corrections at 134 meV/atom. The uncorrected energy comes out at -0.389 Ry/atom. As for the calculated density: 13.4 g/cm³. The density of states at the Fermi level is 1.241 states/eV per atom.